No. 1
ThAgTe | PBE-GGA | optimized geometry

a = 5.136 Å, b = 5.136 Å, c = 5.136 Å
α = 60.00°, β = 60.00°, γ = 60.00°
Each line ends with the local moment (μB).
Element x y z (fractional)
Te 0.750 0.750 0.750  0.00
Th 0.000 0.000 0.000  0.07
Ag 0.250 0.250 0.250  0.00

Summary:
Electronic total energy: -4.7727 eV/atom
SG: No. 216

No. 2
ThAgTe | PBE-GGA | optimized geometry

a = 4.948 Å, b = 4.948 Å, c = 4.948 Å
α = 60.00°, β = 60.00°, γ = 60.00°
Element x y z (fractional)
Ag 0.000 0.000 0.000
Th 0.750 0.750 0.750
Te 0.250 0.250 0.250

Summary:
Electronic total energy: -4.6587 eV/atom
SG: No. 216

No. 3
Tl2AgTe | PBE-GGA | optimized geometry

a = 4.455 Å, b = 4.455 Å, c = 7.904 Å
α = 90.00°, β = 90.00°, γ = 120.00°
Element x y z (fractional)
Tl 0.667 0.333 0.253
Tl 0.333 0.667 0.774
Ag 0.333 0.667 0.419
Te 0.000 0.000 0.997

Summary:
Electronic total energy: -2.6305 eV/atom
SG: No. 156